Below is a geometry-optimized CsGa2Ge2 structure, with properties calculated at the PBE level.

As for the calculated total energy: -3.20 eV per atom. For the formation energy from the elements, the calculation gives 23 meV per atom. Its crystal system is tetragonal.

The structure belongs to space group P4/mmm (No. 123); the cell edges are 4.4162, 4.4162 and 7.2012 Å and the angles 90.00°, 90.00° and 90.00°. The distinct sites, in fractional coordinates, are Cs at (0.0000, 0.0000, 0.0000), Ga at (0.0000, 0.5000, 0.5000) and Ge at (0.5000, 0.5000, 0.2872).